Below is a relaxed HWO3 crystal, with properties calculated at the PBE+U level.

Structure (POSCAR):
```
HWO3
1.0
3.8966 0.0213 0.0286
-0.0228 4.1798 -0.1109
0.0724 0.1070 3.9290
W O H
1 3 1
direct
0.6451 0.5128 0.5356
0.1279 0.5126 0.5591
0.6110 0.0128 0.5968
0.6083 0.5130 0.0505
0.4935 0.0124 0.8215
```

## Properties
Raw total energy   -0.246 hartree per atom